[1]
Below is a geometry-optimized Rb2GaPdF6 structure, with properties calculated at the PBE level.

Structure (POSCAR):
```
Rb2GaPdF6
1.0
6.147 0.000 0.000
3.074 5.324 0.000
3.074 1.775 10.728
Rb F Ga Pd
4 12 2 2
Direct
0.713 0.713 0.861
0.287 0.287 0.139
0.129 0.129 0.613
0.871 0.871 0.387
0.183 0.738 0.896
0.183 0.183 0.896
0.817 0.262 0.104
0.614 0.167 0.604
0.738 0.183 0.896
0.167 0.614 0.604
0.833 0.386 0.396
0.386 0.833 0.396
0.386 0.386 0.396
0.817 0.817 0.104
0.262 0.817 0.104
0.614 0.614 0.604
0.500 0.500 0.500
0.000 0.000 0.000
0.593 0.593 0.221
0.407 0.407 0.779
```

Distance to the lowest polymorph of the same formula   27.7 meV/atom
SG   R-3m, No. 166
Crystal system   trigonal
D(E_F)   0.49 states/eV per atom
Formation energy (no corrections)   -2.27 eV/atom
Total moment   0.1000 μB per atom

[2]
Below is a geometry-optimized TaPd2Pt6 structure, with properties calculated at the PBE level.

Structure (POSCAR):
```
TaPd2Pt6
1.0
5.219 0.220 -0.683
-1.225 7.348 -1.354
0.254 -0.039 7.567
Pt Pd Ta
12 4 2
Direct
0.512 0.331 0.734
0.012 0.734 0.331
0.207 0.560 0.932
0.190 0.957 0.761
0.488 0.669 0.266
0.293 0.068 0.440
0.707 0.932 0.560
0.310 0.239 0.043
0.988 0.266 0.669
0.793 0.440 0.068
0.810 0.043 0.239
0.690 0.761 0.957
0.617 0.350 0.382
0.117 0.382 0.350
0.383 0.650 0.618
0.883 0.618 0.650
0.250 0.903 0.097
0.750 0.097 0.903
```

Energy of formation   -0.19 eV per atom
SG   C2/c, No. 15
Crystal system   monoclinic
D(E_F)   1.09 states/eV per atom
Total moment   0.0000 μB per atom

[3]
Below is a geometry-optimized SnPd structure, with properties calculated at the PBE level.

Structure (POSCAR):
```
SnPd
1.0
4.753 0.000 0.000
0.000 7.757 0.000
0.000 0.000 9.006
Pd Sn
8 8
Direct
0.376 0.965 0.628
0.627 0.064 0.330
0.373 0.564 0.170
0.127 0.436 0.670
0.873 0.936 0.830
0.624 0.465 0.872
0.124 0.035 0.128
0.876 0.535 0.372
0.855 0.339 0.125
0.371 0.357 0.409
0.645 0.661 0.625
0.129 0.643 0.909
0.871 0.143 0.591
0.629 0.857 0.091
0.145 0.839 0.375
0.355 0.161 0.875
```

Energy of formation   -0.38 eV per atom
SG   P2_12_12_1, No. 19
Crystal system   orthorhombic
D(E_F)   0.29 states/eV per atom
Total moment   0.0000 μB per atom